1.
The following is a meta-GGA SCAN calculation of BaHg at its PBEsol-relaxed geometry, from Alexandria.

POSCAR file:
```
BaHg
1.0
4.098 0.000 0.000
0.000 4.098 0.000
0.000 0.000 4.098
Ba Hg
1 1
Cartesian
0.000 0.000 0.000
2.049 2.049 2.049
```

Calculated values
* total moment: 0.00 μB/cell
* V: 34.42 Å³ per atom
* energy of formation from the pure elements: -0.675 eV per atom



2.
The following is a meta-GGA SCAN calculation of Ba3Hg2 at its PBEsol-relaxed geometry, from Alexandria.

POSCAR file:
```
Ba3Hg2
1.0
5.794 0.000 0.000
-2.897 5.018 0.000
0.000 0.000 7.015
Ba Hg
3 2
Cartesian
0.000 0.000 0.000
0.000 3.345 2.297
2.897 1.673 4.719
0.000 3.345 5.841
2.897 1.673 1.174
```

Calculated values
* total moment: 0.01 μB/cell
* V: 40.80 Å³ per atom
* energy of formation from the pure elements: -0.533 eV per atom



3.
The following is a meta-GGA SCAN calculation of Ba2Hg at its PBEsol-relaxed geometry, from Alexandria.

POSCAR file:
```
Ba2Hg
1.0
-4.088 4.088 3.831
4.088 -4.088 3.831
4.088 4.088 -3.831
Ba Hg
4 2
Cartesian
5.635 1.547 0.000
1.547 2.540 0.000
2.540 1.547 3.831
-1.547 2.540 3.831
0.000 0.000 1.915
0.000 0.000 5.746
```

Calculated values
* total moment: 0.05 μB/cell
* V: 42.67 Å³ per atom
* energy of formation from the pure elements: -0.453 eV per atom



4.
The following is a meta-GGA SCAN calculation of Ba2Hg at its PBEsol-relaxed geometry, from Alexandria.

POSCAR file:
```
Ba2Hg
1.0
5.773 0.000 0.000
0.000 5.773 0.000
0.000 0.000 3.979
Ba Hg
2 1
Cartesian
0.000 2.887 0.000
2.887 0.000 0.000
0.000 0.000 1.990
```

Calculated values
* total moment: 0.04 μB/cell
* V: 44.21 Å³ per atom
* energy of formation from the pure elements: -0.429 eV per atom



5.
The following is a meta-GGA SCAN calculation of Ba5Hg3 at its PBEsol-relaxed geometry, from Alexandria.

POSCAR file:
```
Ba5Hg3
1.0
10.037 0.000 0.000
-5.019 8.692 0.000
0.000 0.000 7.403
Ba Hg
10 6
Cartesian
-1.319 2.285 1.851
-3.699 6.408 5.552
2.638 0.000 1.851
1.319 2.285 5.552
0.000 5.795 0.000
0.000 5.795 3.701
5.019 2.897 0.000
5.019 2.897 3.701
7.399 0.000 5.552
3.699 6.408 1.851
-1.973 3.418 5.552
-3.045 5.274 1.851
3.947 0.000 5.552
1.973 3.418 1.851
6.090 0.000 1.851
3.045 5.274 5.552
```

Calculated values
* total moment: 1.26 μB/cell
* V: 40.36 Å³ per atom
* energy of formation from the pure elements: -0.487 eV per atom



6.
The following is a meta-GGA SCAN calculation of BaHg2 at its PBEsol-relaxed geometry, from Alexandria.

POSCAR file:
```
BaHg2
1.0
-2.061 2.061 5.307
2.061 -2.061 5.307
2.061 2.061 -5.307
Ba Hg
1 2
Cartesian
0.000 0.000 0.000
0.000 0.000 3.410
0.000 0.000 7.203
```

Calculated values
* total moment: 0.00 μB/cell
* V: 30.05 Å³ per atom
* energy of formation from the pure elements: -0.590 eV per atom



7.
The following is a meta-GGA SCAN calculation of Ba2Hg at its PBEsol-relaxed geometry, from Alexandria.

POSCAR file:
```
Ba2Hg
1.0
8.275 0.000 0.000
0.000 8.275 0.000
0.000 0.000 8.275
Ba Hg
8 4
Cartesian
1.328 1.328 1.328
1.328 2.810 5.465
2.810 5.465 1.328
2.810 6.947 5.465
5.465 1.328 2.810
5.465 2.810 6.947
6.947 5.465 2.810
6.947 6.947 6.947
0.000 0.000 4.137
0.000 4.137 0.000
4.137 0.000 0.000
4.137 4.137 4.137
```

Calculated values
* total moment: 0.00 μB/cell
* V: 47.21 Å³ per atom
* energy of formation from the pure elements: -0.420 eV per atom



8.
The following is a meta-GGA SCAN calculation of BaHg at its PBEsol-relaxed geometry, from Alexandria.

POSCAR file:
```
BaHg
1.0
4.580 0.000 0.000
-2.290 3.966 0.000
0.000 0.000 4.347
Ba Hg
1 1
Cartesian
0.000 0.000 0.000
0.000 2.644 2.174
```

Calculated values
* total moment: 0.00 μB/cell
* V: 39.49 Å³ per atom
* energy of formation from the pure elements: -0.561 eV per atom



9.
The following is a meta-GGA SCAN calculation of Ba7Hg31 at its PBEsol-relaxed geometry, from Alexandria.

POSCAR file:
```
Ba7Hg31
1.0
10.648 0.000 0.000
-5.324 9.222 0.000
0.000 0.000 10.254
Ba Hg
7 31
Cartesian
0.000 0.000 0.000
0.000 3.089 5.127
-2.649 7.677 5.127
0.000 6.148 0.000
2.649 7.677 5.127
5.324 3.074 2.113
5.324 3.074 8.141
0.000 0.000 3.593
0.000 0.000 6.661
-2.348 4.792 2.698
-2.348 4.792 7.556
0.000 2.989 1.739
0.000 2.989 8.515
-2.735 7.727 1.739
-2.735 7.727 8.515
2.483 1.433 3.100
2.483 1.433 7.154
0.000 6.148 3.624
0.000 6.148 6.630
3.847 0.560 0.000
2.408 3.051 0.000
2.348 4.792 2.698
2.348 4.792 7.556
0.000 8.859 2.698
0.000 8.859 7.556
5.324 1.266 5.127
3.758 3.978 5.127
6.802 0.560 0.000
3.886 5.610 0.000
2.735 7.727 1.739
2.735 7.727 8.515
8.165 1.433 3.100
8.165 1.433 7.154
5.324 6.355 3.100
5.324 6.355 7.154
6.890 3.978 5.127
8.240 3.051 0.000
6.762 5.610 0.000
```

Calculated values
* total moment: 0.00 μB/cell
* V: 26.50 Å³ per atom
* energy of formation from the pure elements: -0.432 eV per atom



10.
The following is a meta-GGA SCAN calculation of BaHg3 at its PBEsol-relaxed geometry, from Alexandria.

POSCAR file:
```
BaHg3
1.0
-2.419 2.419 9.957
2.419 -2.419 9.957
2.419 2.419 -9.957
Ba Hg
2 6
Cartesian
0.000 0.000 2.586
0.000 0.000 17.328
2.419 0.000 0.000
2.419 0.000 4.979
0.000 0.000 7.909
0.000 2.419 0.000
0.000 0.000 12.005
0.000 2.419 4.979
```

Calculated values
* total moment: 0.00 μB/cell
* V: 29.14 Å³ per atom
* energy of formation from the pure elements: -0.489 eV per atom



11.
The following is a meta-GGA SCAN calculation of Ba2Hg at its PBEsol-relaxed geometry, from Alexandria.

POSCAR file:
```
Ba2Hg
1.0
2.151 -7.593 0.000
2.151 7.593 0.000
0.000 0.000 8.053
Ba Hg
4 2
Cartesian
2.151 7.194 4.026
2.151 3.262 5.365
2.151 -3.262 1.339
2.151 -7.194 0.000
2.151 1.742 2.272
2.151 -1.742 6.298
```

Calculated values
* total moment: 0.01 μB/cell
* V: 43.85 Å³ per atom
* energy of formation from the pure elements: -0.462 eV per atom



12.
The following is a meta-GGA SCAN calculation of BaHg5 at its PBEsol-relaxed geometry, from Alexandria.

POSCAR file:
```
BaHg5
1.0
4.509 -2.573 0.000
4.509 2.573 0.000
-0.664 0.000 6.911
Ba Hg
1 5
Cartesian
0.000 0.000 0.000
-0.332 0.000 3.456
2.393 0.000 4.986
2.979 0.000 1.908
5.375 0.000 5.003
5.961 0.000 1.925
```

Calculated values
* total moment: 0.00 μB/cell
* V: 26.73 Å³ per atom
* energy of formation from the pure elements: -0.406 eV per atom



13.
The following is a meta-GGA SCAN calculation of BaHg3 at its PBEsol-relaxed geometry, from Alexandria.

POSCAR file:
```
BaHg3
1.0
4.889 0.000 0.000
0.000 4.889 0.000
0.000 0.000 4.889
Ba Hg
1 3
Cartesian
0.000 0.000 0.000
0.000 2.445 2.445
2.445 0.000 2.445
2.445 2.445 0.000
```

Calculated values
* total moment: 0.00 μB/cell
* V: 29.22 Å³ per atom
* energy of formation from the pure elements: -0.461 eV per atom



14.
The following is a meta-GGA SCAN calculation of BaHg3 at its PBEsol-relaxed geometry, from Alexandria.

POSCAR file:
```
BaHg3
1.0
6.989 0.000 0.000
-3.494 6.052 0.000
0.000 0.000 10.966
Ba Hg
4 12
Cartesian
0.000 0.000 0.000
0.000 0.000 5.483
0.000 4.035 2.741
3.494 2.017 8.224
-1.747 3.026 0.000
-1.747 3.026 5.483
0.000 2.225 8.224
-1.567 4.940 8.224
1.927 1.113 2.741
3.494 0.000 0.000
3.494 0.000 5.483
1.747 3.026 0.000
1.747 3.026 5.483
1.567 4.940 8.224
5.062 1.113 2.741
3.494 3.827 2.741
```

Calculated values
* total moment: 0.00 μB/cell
* V: 28.99 Å³ per atom
* energy of formation from the pure elements: -0.496 eV per atom



15.
The following is a meta-GGA SCAN calculation of BaHg3 at its PBEsol-relaxed geometry, from Alexandria.

POSCAR file:
```
BaHg3
1.0
7.013 0.000 0.000
0.000 7.013 0.000
0.000 0.000 4.778
Ba Hg
2 6
Cartesian
0.000 0.000 0.000
3.506 3.506 0.000
0.000 3.506 0.000
1.310 2.196 2.389
2.196 5.702 2.389
3.506 0.000 0.000
4.817 1.310 2.389
5.702 4.817 2.389
```

Calculated values
* total moment: 0.00 μB/cell
* V: 29.37 Å³ per atom
* energy of formation from the pure elements: -0.492 eV per atom



16.
The following is a meta-GGA SCAN calculation of BaHg2 at its PBEsol-relaxed geometry, from Alexandria.

POSCAR file:
```
BaHg2
1.0
2.252 -7.319 0.000
2.252 7.319 0.000
0.000 0.000 5.521
Ba Hg
2 4
Cartesian
2.252 5.932 4.141
2.252 -5.932 1.380
2.252 3.895 1.380
2.252 1.418 4.141
2.252 -1.418 1.380
2.252 -3.895 4.141
```

Calculated values
* total moment: 0.00 μB/cell
* V: 30.33 Å³ per atom
* energy of formation from the pure elements: -0.569 eV per atom



17.
The following is a meta-GGA SCAN calculation of Ba3Hg4 at its PBEsol-relaxed geometry, from Alexandria.

POSCAR file:
```
Ba3Hg4
1.0
-2.108 2.108 13.680
2.108 -2.108 13.680
2.108 2.108 -13.680
Ba Hg
3 4
Cartesian
0.000 0.000 0.000
0.000 0.000 8.609
0.000 0.000 18.751
0.000 0.000 3.436
0.000 0.000 11.907
0.000 0.000 15.453
0.000 0.000 23.925
```

Calculated values
* total moment: 0.00 μB/cell
* V: 34.73 Å³ per atom
* energy of formation from the pure elements: -0.547 eV per atom



18.
The following is a meta-GGA SCAN calculation of BaHg3 at its PBEsol-relaxed geometry, from Alexandria.

POSCAR file:
```
BaHg3
1.0
3.603 -6.257 0.000
3.603 6.257 0.000
0.000 0.000 5.115
Ba Hg
2 6
Cartesian
3.603 4.181 3.836
3.603 -4.181 1.279
2.026 0.915 3.836
3.603 1.845 1.279
2.026 -0.915 1.279
5.181 0.915 3.836
3.603 -1.845 3.836
5.181 -0.915 1.279
```

Calculated values
* total moment: 0.00 μB/cell
* V: 28.83 Å³ per atom
* energy of formation from the pure elements: -0.548 eV per atom



19.
The following is a meta-GGA SCAN calculation of Ba2Hg at its PBEsol-relaxed geometry, from Alexandria.

POSCAR file:
```
Ba2Hg
1.0
8.088 0.000 0.000
0.000 5.665 0.000
0.000 0.000 10.533
Ba Hg
8 4
Cartesian
0.137 1.416 1.913
1.259 1.416 6.063
2.785 4.249 0.796
3.907 4.249 7.179
4.181 1.416 3.354
5.303 1.416 9.737
6.829 4.249 4.470
7.951 4.249 8.621
1.901 1.416 9.426
2.143 4.249 4.160
5.945 1.416 6.374
6.187 4.249 1.107
```

Calculated values
* total moment: 0.00 μB/cell
* V: 40.22 Å³ per atom
* energy of formation from the pure elements: -0.469 eV per atom



20.
The following is a meta-GGA SCAN calculation of BaHg2 at its PBEsol-relaxed geometry, from Alexandria.

POSCAR file:
```
BaHg2
1.0
5.617 0.000 0.000
-2.809 4.864 0.000
0.000 0.000 6.811
Ba Hg
2 4
Cartesian
0.000 3.243 1.703
2.809 1.621 5.109
0.000 0.000 0.000
0.000 0.000 3.406
0.000 3.243 5.109
2.809 1.621 1.703
```

Calculated values
* total moment: 0.00 μB/cell
* V: 31.02 Å³ per atom
* energy of formation from the pure elements: -0.554 eV per atom